Material: LaNi6
Method: DFT, PBE
State: optimized geometry

Cell lengths 4.943, 7.856, 9.958 Å; angles 90.00, 90.00, 90.00 degrees
Site moments in Bohr magnetons follow the coordinates.
Atoms (fractional coordinates):
La: 0.750 0.738 0.560  -0.06
La: 0.250 0.262 0.440  -0.06
La: 0.750 0.238 0.940  -0.06
La: 0.250 0.762 0.060  -0.06
Ni: 0.750 0.606 0.018  0.19
Ni: 0.250 0.651 0.351  0.31
Ni: 0.750 0.178 0.241  0.37
Ni: 0.750 0.106 0.482  0.19
Ni: 0.250 0.069 0.903  0.15
Ni: 0.750 0.349 0.649  0.31
Ni: 0.250 0.394 0.982  0.19
Ni: 0.995 0.568 0.810  0.35
Ni: 0.250 0.151 0.149  0.31
Ni: 0.495 0.932 0.310  0.35
Ni: 0.005 0.932 0.310  0.35
Ni: 0.005 0.432 0.190  0.35
Ni: 0.995 0.068 0.690  0.35
Ni: 0.250 0.822 0.759  0.37
Ni: 0.750 0.849 0.851  0.31
Ni: 0.750 0.678 0.259  0.37
Ni: 0.505 0.068 0.690  0.35
Ni: 0.250 0.894 0.518  0.19
Ni: 0.495 0.432 0.190  0.35
Ni: 0.250 0.569 0.597  0.15
Ni: 0.750 0.431 0.403  0.15
Ni: 0.250 0.322 0.741  0.37
Ni: 0.505 0.568 0.810  0.35
Ni: 0.750 0.931 0.097  0.15

## Properties
ΔE_f in meV per atom: -139
Total magnetic moment in μB/f.u.: 1.49